[1]
Computed, not measured: a crystal of K2WCl relaxed with PBEsol at the SCAN level of DFT.

Structure (POSCAR):
```
K2WCl
1.0
-4.031 3.576 1.711
-4.078 -1.794 3.481
-0.116 1.770 5.369
K W Cl
2 1 1
direct
0.000 0.000 0.000
0.750 0.750 0.750
0.250 0.250 0.250
0.500 0.500 0.500
```

The calculation puts the magnetic moment at 5.000 μB per formula unit. Its space group is F-43m, No. 216. As for the polymorph energy (0 for the lowest one): 205 meV/atom. The calculated total energy is -1.6600 Ry per atom. The calculation puts the uncorrected formation energy at 0.995 eV/atom.

[2]
Computed, not measured: a crystal of K2YCl relaxed with PBEsol at the SCAN level of DFT.

Structure (POSCAR):
```
K2YCl
1.0
-3.505 0.543 0.186
-0.179 -2.128 2.839
1.666 8.521 6.492
K Y Cl
2 1 1
direct
0.000 0.000 0.325
0.000 0.000 0.675
0.500 0.500 0.000
0.500 0.500 0.500
```

The calculation puts the magnetic moment at 0.402 μB per formula unit. Its space group is P4/mmm, No. 123. As for the polymorph energy (0 for the lowest one): 0 meV/atom. The calculated total energy is -1.0183 Ry per atom. The calculation puts the uncorrected formation energy at -0.735 eV/atom.

[3]
Computed, not measured: a crystal of K3YCl6 relaxed with PBEsol at the SCAN level of DFT.

Structure (POSCAR):
```
K3YCl6
1.0
7.772 0.000 0.000
3.886 6.731 0.000
3.886 2.244 6.346
Cl K Y
6 3 1
direct
0.236 0.764 0.236
0.764 0.764 0.236
0.236 0.764 0.764
0.764 0.236 0.764
0.236 0.236 0.764
0.764 0.236 0.236
0.500 0.500 0.500
0.250 0.250 0.250
0.750 0.750 0.750
0.000 0.000 0.000
```

The calculation puts the magnetic moment at 0.000 μB per formula unit. Its space group is Fm-3m, No. 225. The calculated total energy is -0.9088 Ry per atom. The calculation puts the uncorrected formation energy at -2.295 eV/atom.

[4]
Computed, not measured: a crystal of K2YCl relaxed with PBEsol at the SCAN level of DFT.

Structure (POSCAR):
```
K2YCl
1.0
3.814 0.000 0.000
0.000 5.985 0.000
0.000 0.000 6.470
K Cl Y
2 1 1
direct
0.500 0.500 0.000
0.000 0.000 0.000
0.000 0.500 0.500
0.500 0.000 0.500
```

The calculation puts the magnetic moment at 0.679 μB per formula unit. Its space group is Pmmm, No. 47. As for the polymorph energy (0 for the lowest one): 640 meV/atom. The calculated total energy is -0.9712 Ry per atom. The calculation puts the uncorrected formation energy at -0.095 eV/atom.

- Among the records above, which one has the highest calculated total energy?
  K3YCl6